Cd2SnPb | PBE | optimized geometry

It has space group R3m (No. 160, hexagonal axes), with a = 4.5688 Å, b = 4.5688 Å, c = 19.4959 Å, α = 90.00°, β = 90.00° and γ = 120.00°. The inequivalent atoms are Cd at (0.0000, 0.0000, 0.0000), Cd at (0.0000, 0.0000, 0.1574), Sn at (0.0000, 0.0000, 0.4120) and Pb at (0.0000, 0.0000, 0.5786).

For the formation energy, the calculation gives 0.11 eV per atom. Its total moment is 0.000 μB per formula unit. The polymorph energy (0 for the lowest one) is 0.061 eV per atom. Its uncorrected energy is -2.280 eV/atom.